Mn2TeRu | the Alexandria database | GGA-PBEsol | relaxed; theoretical density = 9.519 g/cm3; VASP energy = -0.584 Ry per atom; uncorrected formation energy = 356 meV per atom; total magnetization = 12.060 Bohr magnetons per cell; volume = 59.06 Å³/f.u.; symmetry = Cmmm
1.0
5.233 0.000 0.000
0.000 6.968 0.000
0.000 0.000 3.239
Mn Te Ru
4 2 2
Cartesian
1.308 1.742 0.000
1.308 5.226 0.000
3.925 1.742 0.000
3.925 5.226 0.000
0.000 0.000 1.620
2.617 3.484 1.620
0.000 3.484 1.620
2.617 0.000 1.620